(1)
The following is a PBE-GGA calculation of La7Ag2Os after structural relaxation, from Alexandria.

V = 614.3 Å³ per cell
Calculated formation energy = -121 meV/atom
Fermi-level density of states = 12.5 states/eV/f.u.

Structure (extended XYZ):
```
20
Lattice="8.180 0.000 3.989 3.379 8.538 3.452 0.639 -0.171 9.071" Properties=species:S:1:pos:R:3 pbc="T T T"
La 8.028 4.191 12.565
La 7.688 0.007 7.117
La 5.739 7.555 12.513
La 4.113 1.705 6.885
La 6.172 2.006 10.030
La 9.138 3.372 8.889
La 2.426 2.308 10.344
La 9.773 6.060 6.168
La 3.061 4.996 7.623
La 6.027 6.361 6.482
La 8.086 6.662 9.627
La 6.460 0.812 3.999
La 4.511 8.360 9.395
La 4.171 4.177 3.947
Ag 8.987 7.475 12.857
Ag 6.867 3.292 6.542
Ag 5.332 5.076 9.970
Ag 3.212 0.892 3.655
Os 1.376 2.006 7.691
Os 10.823 6.361 8.821
```


(2)
The following is a PBE-GGA calculation of ScCd2Hg after structural relaxation, from Alexandria.

V = 85.6 Å³ per cell
Calculated formation energy = -225 meV/atom
Fermi-level density of states = 1.8 states/eV/f.u.

Structure (extended XYZ):
```
4
Lattice="-0.968 4.250 -2.384 -4.531 0.093 2.036 3.998 -0.378 2.867" Properties=species:S:1:pos:R:3 pbc="T T T"
Sc 0.141 3.022 0.154
Hg 1.249 1.793 2.694
Cd -4.530 0.093 2.035
Cd -1.641 0.942 2.365
```


(3)
The following is a PBE-GGA calculation of Si3Au4 after structural relaxation, from Alexandria.

V = 140.4 Å³ per cell
Fermi-level density of states = 3.5 states/eV/f.u.
Energy relative to the elements, uncorrected = 0.084 eV/atom

Structure (extended XYZ):
```
7
Lattice="5.197 0.000 0.000 0.000 5.197 0.000 0.000 0.000 5.197" Properties=species:S:1:pos:R:3 pbc="T T T"
Si 0.000 0.000 2.598
Si 2.598 0.000 0.000
Si 0.000 2.598 0.000
Au 1.566 1.566 3.631
Au 3.631 3.631 3.631
Au 1.566 3.631 1.566
Au 3.631 1.566 1.566
```


(4)
The following is a PBE-GGA calculation of TiMn2TcC after structural relaxation, from Alexandria.

V = 60.2 Å³ per cell
Calculated formation energy = -190 meV/atom
Fermi-level density of states = 3.7 states/eV/f.u.

Structure (extended XYZ):
```
5
Lattice="-2.544 -1.184 -2.593 -1.657 -2.214 2.636 -2.501 3.106 1.037" Properties=species:S:1:pos:R:3 pbc="T T T"
C 0.000 0.000 0.000
Mn -0.828 -1.107 1.318
Mn -1.272 -0.592 -1.297
Tc -1.251 1.553 0.518
Ti -3.351 -0.146 0.540
```


(5)
The following is a PBE-GGA calculation of KRb2NF after structural relaxation, from Alexandria.

V = 171.4 Å³ per cell
Fermi-level density of states = 0.6 states/eV/f.u.
Energy relative to the elements, uncorrected = 0.015 eV/atom

Structure (extended XYZ):
```
5
Lattice="6.302 0.000 0.000 0.000 4.315 0.000 0.000 0.000 6.302" Properties=species:S:1:pos:R:3 pbc="T T T"
K 0.000 0.000 0.000
N 0.000 2.158 0.000
Rb 0.000 0.000 3.151
Rb 3.151 0.000 0.000
F 3.151 2.158 3.151
```


(6)
The following is a PBE-GGA calculation of Rb2SnPdF6 after structural relaxation, from Alexandria.

V = 186.4 Å³ per cell
Fermi-level density of states = 3.5 states/eV/f.u.
Energy relative to the elements, uncorrected = -2.165 eV/atom

Structure (extended XYZ):
```
10
Lattice="-0.520 -4.122 4.934 5.378 2.435 2.600 -0.018 2.159 6.017" Properties=species:S:1:pos:R:3 pbc="T T T"
Rb 0.946 -1.403 7.359
Rb 3.894 1.875 6.192
Sn 0.000 0.000 0.000
Pd 2.429 -0.844 3.767
F 1.168 0.703 4.926
F 3.671 -0.231 8.625
F 1.152 -0.400 1.787
F 3.706 -1.287 5.747
F 0.879 -2.567 4.381
F 3.979 0.880 3.154
```


(7)
The following is a PBE-GGA calculation of AgTeN2F after structural relaxation, from Alexandria.

V = 100.8 Å³ per cell
Fermi-level density of states = 1.8 states/eV/f.u.
Energy relative to the elements, uncorrected = 1.545 eV/atom

Structure (extended XYZ):
```
5
Lattice="-3.616 -1.685 -0.387 1.318 -2.104 -3.147 1.753 -4.642 3.839" Properties=species:S:1:pos:R:3 pbc="T T T"
N 0.659 -1.052 -1.573
N -1.808 -0.843 -0.194
Te 0.876 -2.321 1.919
Ag 0.000 0.000 0.000
F -0.273 -4.216 0.152
```


(8)
The following is a PBE-GGA calculation of Ac12TlCd6 after structural relaxation, from Alexandria.

V = 699.0 Å³ per cell
Calculated formation energy = -87 meV/atom
Fermi-level density of states = 23.7 states/eV/f.u.

Structure (extended XYZ):
```
19
Lattice="-8.998 4.008 0.267 1.788 -5.123 8.225 6.872 6.929 -1.364" Properties=species:S:1:pos:R:3 pbc="T T T"
Ac -2.517 3.500 4.907
Ac 1.260 2.501 5.901
Ac 0.585 5.564 3.370
Ac 2.179 2.315 2.221
Ac -1.598 3.314 1.228
Ac -0.923 0.250 3.759
Ac -4.933 1.327 6.723
Ac 0.326 -2.515 5.915
Ac -5.249 3.674 0.603
Ac 4.595 4.487 0.406
Ac -0.664 8.329 1.214
Ac 4.911 2.140 6.526
Tl 0.000 0.000 0.000
Cd -1.315 0.667 7.212
Cd -4.160 1.064 3.004
Cd 2.836 -0.241 4.400
Cd 0.977 5.148 -0.083
Cd 3.822 4.750 4.124
Cd -3.174 6.055 2.729
```


(9)
The following is a PBE-GGA calculation of Pr4Pd12Pt after structural relaxation, from Alexandria.

V = 326.1 Å³ per cell
Calculated formation energy = -717 meV/atom
Fermi-level density of states = 4.9 states/eV/f.u.

Structure (extended XYZ):
```
17
Lattice="7.081 0.000 -2.504 -3.541 6.132 -2.504 0.000 0.000 7.511" Properties=species:S:1:pos:R:3 pbc="T T T"
Pr 0.000 0.000 3.755
Pr 3.541 0.000 -1.252
Pr 1.770 3.066 1.252
Pr -1.770 3.066 -1.252
Pd -1.071 1.855 1.515
Pd -2.469 4.277 3.492
Pd 2.469 4.277 -3.492
Pd 1.071 1.855 -1.515
Pd 2.142 0.000 1.515
Pd 4.939 0.000 3.492
Pd 2.655 1.533 3.755
Pd 0.885 4.599 -1.252
Pd 4.426 1.533 1.252
Pd -0.885 4.599 1.252
Pd 3.541 3.066 -1.252
Pd 0.000 3.066 3.755
Pt 0.000 0.000 0.000
```


(10)
The following is a PBE-GGA calculation of Pr2ZnRu after structural relaxation, from Alexandria.

V = 199.2 Å³ per cell
Calculated formation energy = -263 meV/atom
Fermi-level density of states = 3.5 states/eV/f.u.

Structure (extended XYZ):
```
8
Lattice="4.308 0.000 0.000 0.000 6.006 -0.032 0.000 -3.038 7.713" Properties=species:S:1:pos:R:3 pbc="T T T"
Pr 3.231 -0.059 3.392
Pr 1.077 3.027 4.290
Pr 1.077 4.389 0.609
Pr 3.231 -1.421 7.072
Zn 1.077 1.474 1.653
Zn 3.231 1.495 6.028
Ru 3.231 2.977 2.146
Ru 1.077 -0.008 5.535
```


(11)
The following is a PBE-GGA calculation of BiCl2F after structural relaxation, from Alexandria.

V = 74.7 Å³ per cell
Fermi-level density of states = 0.0 states/eV/f.u.
Energy relative to the elements, uncorrected = -0.966 eV/atom

Structure (extended XYZ):
```
4
Lattice="0.000 3.343 3.343 3.343 0.000 3.343 3.343 3.343 0.000" Properties=species:S:1:pos:R:3 pbc="T T T"
F 0.000 0.000 0.000
Bi 3.343 3.343 3.343
Cl 1.672 1.672 1.672
Cl 5.015 5.015 5.015
```


(12)
The following is a PBE-GGA calculation of Pr3Y2ScS6 after structural relaxation, from Alexandria.

V = 267.0 Å³ per cell
Fermi-level density of states = 4.8 states/eV/f.u.
Energy relative to the elements, uncorrected = -1.978 eV/atom

Structure (extended XYZ):
```
12
Lattice="3.930 0.000 0.000 0.000 8.064 0.173 -1.965 -2.443 8.373" Properties=species:S:1:pos:R:3 pbc="T T T"
Pr 1.965 4.032 0.086
Pr 1.965 -0.291 5.585
Pr 0.000 5.912 2.960
Y 1.965 3.756 5.719
Y 0.000 1.866 2.826
Sc 1.965 0.000 0.000
S 0.000 5.662 5.890
S 1.965 3.787 2.961
S 1.965 -0.041 2.655
S 0.000 1.827 0.077
S 1.965 3.794 8.468
S 0.000 1.834 5.584
```